(1)
Entry from the Alexandria database: a geometry-optimized Ac5PtAu2O structure (PBE).

a = 9.8645 Å, b = 9.8645 Å, c = 13.9130 Å
α = 90.00°, β = 90.00°, γ = 154.80°
With the nearest neighbours (Å) after each atom.
Fractional positions:
Ac: 0.0015 0.9985 0.5000  1 O 2.44
Ac: 0.1417 0.8583 0.2544  1 Pt 3.01, 4 Au 3.32-3.34
Ac: 0.1899 0.8101 0.6123  1 O 2.57
Ac: 0.2011 0.7989 0.9159  2 Pt 3.01, 1 Au 3.37
Ac: 0.4573 0.5427 0.2360  2 O 2.45
Ac: 0.5427 0.4573 0.7360  2 O 2.45
Ac: 0.7989 0.2011 0.4159  2 Pt 3.01, 1 Au 3.37
Ac: 0.8101 0.1899 0.1123  1 O 2.57
Ac: 0.8583 0.1417 0.7544  1 Pt 3.01, 4 Au 3.32-3.34
Ac: 0.9985 0.0015 0.0000  1 O 2.44
Pt: 0.2976 0.7024 0.2642  6 Ac 3.01-3.10
Pt: 0.7024 0.2976 0.7642  6 Ac 3.01-3.10
Au: 0.3757 0.6243 0.9362  7 Ac 3.32-3.50
Au: 0.3802 0.6198 0.5753  7 Ac 3.32-3.70
Au: 0.6198 0.3802 0.0753  7 Ac 3.32-3.70
Au: 0.6243 0.3757 0.4362  7 Ac 3.32-3.50
O: 0.0601 0.9399 0.6553  4 Ac 2.44-2.57
O: 0.9399 0.0601 0.1553  4 Ac 2.44-2.57

As for the space group: No. 36. The uncorrected formation energy comes out at -1.223 eV/atom.


(2)
Entry from the Alexandria database: a geometry-optimized Ac12Pd6Rh structure (PBE).

a = 8.9045 Å, b = 8.9045 Å, c = 8.9045 Å
α = 97.64°, β = 97.64°, γ = 97.64°
With the nearest neighbours (Å) after each atom.
Fractional positions:
Ac: 0.0441 0.6818 0.9081  1 Rh 2.94, 2 Pd 3.05-3.16
Ac: 0.0919 0.9559 0.3182  1 Rh 2.94, 2 Pd 3.05-3.16
Ac: 0.1875 0.4087 0.5697  3 Pd 2.98-3.18
Ac: 0.3182 0.0919 0.9559  1 Rh 2.94, 2 Pd 3.05-3.16
Ac: 0.4087 0.5697 0.1875  3 Pd 2.98-3.18
Ac: 0.4303 0.8125 0.5913  3 Pd 2.98-3.18
Ac: 0.5697 0.1875 0.4087  3 Pd 2.98-3.18
Ac: 0.5913 0.4303 0.8125  3 Pd 2.98-3.18
Ac: 0.6818 0.9081 0.0441  1 Rh 2.94, 2 Pd 3.05-3.16
Ac: 0.8125 0.5913 0.4303  3 Pd 2.98-3.18
Ac: 0.9081 0.0441 0.6818  1 Rh 2.94, 2 Pd 3.05-3.16
Ac: 0.9559 0.3182 0.0919  1 Rh 2.94, 2 Pd 3.05-3.16
Pd: 0.1222 0.6185 0.3125  5 Ac 2.98-3.18
Pd: 0.3125 0.1222 0.6185  5 Ac 2.98-3.18
Pd: 0.3815 0.6875 0.8778  5 Ac 2.98-3.18
Pd: 0.6185 0.3125 0.1222  5 Ac 2.98-3.18
Pd: 0.6875 0.8778 0.3815  5 Ac 2.98-3.18
Pd: 0.8778 0.3815 0.6875  5 Ac 2.98-3.18
Rh: 0.0000 0.0000 0.0000  6 Ac 2.94

The total DFT energy (no corrections) is -0.379 Ry/atom. As for the space group: No. 148.